(1)
Density functional theory data (PBE) for ZrRe2Se after structural relaxation.

As for the density of states at the Fermi level: 8.21 states/eV per cell. The value obtained for the size of the total moment is 0.0 μB per cell. The calculated total energy is -143.27 eV/cell. For the formation energy from raw total energies, the calculation gives 0.278 eV/atom.

```
data_ZrRe2Se
_space_group_name_H-M_alt 'I -4 2 d'
_space_group_IT_number 122
_space_group_name_Hall 'I -4 2bw'
_cell_length_a 3.7393
_cell_length_b 3.7393
_cell_length_c 21.3357
_cell_angle_alpha 90.00
_cell_angle_beta 90.00
_cell_angle_gamma 90.00
loop_
_atom_site_label
_atom_site_fract_x
_atom_site_fract_y
_atom_site_fract_z
Zr1 0.0000 0.0000 0.0000
Re1 0.2159 0.2500 0.1250
Se1 0.0000 0.0000 0.5000
```

=====

(2)
Density functional theory data (PBE) for Fe3Pd3Rh after structural relaxation.

As for the density of states at the Fermi level: 38.31 states/eV per cell. The value obtained for the size of the total moment is 63.4 μB per cell. The calculated total energy is -285.21 eV/cell.

```
data_Fe3Pd3Rh
_space_group_name_H-M_alt 'R -3'
_space_group_IT_number 148
_space_group_name_Hall '-R 3'
_cell_length_a 6.4563
_cell_length_b 6.4563
_cell_length_c 17.0056
_cell_angle_alpha 90.00
_cell_angle_beta 90.00
_cell_angle_gamma 120.00
loop_
_atom_site_label
_atom_site_fract_x
_atom_site_fract_y
_atom_site_fract_z
Fe1 0.0258 0.2439 0.0567
Pd1 0.0534 0.2804 0.2141
Rh1 0.0000 0.0000 0.3459
```

=====

(3)
Density functional theory data (PBE) for CsScTiTc2 after structural relaxation.

As for the density of states at the Fermi level: 6.97 states/eV per cell. The value obtained for the size of the total moment is 0.0 μB per cell. The calculated total energy is -24.58 eV/cell.

```
data_CsScTiTc2
_space_group_name_H-M_alt 'P 4/m m m'
_space_group_IT_number 123
_space_group_name_Hall '-P 4 2'
_cell_length_a 4.9214
_cell_length_b 4.9214
_cell_length_c 4.7681
_cell_angle_alpha 90.00
_cell_angle_beta 90.00
_cell_angle_gamma 90.00
loop_
_atom_site_label
_atom_site_fract_x
_atom_site_fract_y
_atom_site_fract_z
Cs1 0.0000 0.0000 0.0000
Sc1 0.5000 0.5000 0.5000
Ti1 0.0000 0.0000 0.5000
Tc1 0.0000 0.5000 0.0000
```